An optimized crystal structure of KBaPb. Source: Alexandria, functional GGA-PBE.

symmetry: No. 216
E_tot: -7.31 eV/cell
D(E_F): 1.391 states/eV/atom
energy relative to the elements: -195 meV per atom
offset from the most stable computed form: 23 meV per atom

Cell lengths 6.007, 6.007, 6.007 Å; angles 60.00, 60.00, 60.00 degrees
Each line ends with the local moment (μB).
Atoms (fractional coordinates):
K 0.500 0.500 0.500  0.02
Ba 0.000 0.000 0.000  0.07
Pb 0.750 0.750 0.750  0.27